1.
Here is a geometry-optimized TmMg2Cd6 structure from the Alexandria database. Energies are from PBE-GGA.

Results
DFT formation energy (eV/atom): -0.080

The structure in CIF format:
```
data_TmMg2Cd6
_cell_length_a 14.954
_cell_length_b 11.419
_cell_length_c 5.037
_cell_angle_alpha 90.00
_cell_angle_beta 90.00
_cell_angle_gamma 90.00
_symmetry_space_group_name_H-M 'C m c m'
_symmetry_Int_Tables_number 63
_symmetry_space_group_name_Hall '-C 2c 2'
loop_
_atom_site_label
_atom_site_type_symbol
_atom_site_fract_x
_atom_site_fract_y
_atom_site_fract_z
_atom_site_occupancy
Tm1 Tm 0.000 0.189 0.250 1
Mg1 Mg 0.156 0.422 0.250 1
Cd1 Cd 0.095 0.324 0.750 1
Cd2 Cd 0.104 0.067 0.750 1
Cd3 Cd 0.210 0.160 0.250 1
```

2.
Here is a geometry-optimized Tm3Mg5Cd structure from the Alexandria database. Energies are from PBE-GGA.

Results
DFT formation energy (eV/atom): 0.171

The structure in CIF format:
```
data_Tm3Mg5Cd
_cell_length_a 8.761
_cell_length_b 8.761
_cell_length_c 12.438
_cell_angle_alpha 90.00
_cell_angle_beta 90.00
_cell_angle_gamma 90.00
_symmetry_space_group_name_H-M 'I 4/m c m'
_symmetry_Int_Tables_number 140
_symmetry_space_group_name_Hall '-I 4 2c'
loop_
_atom_site_label
_atom_site_type_symbol
_atom_site_fract_x
_atom_site_fract_y
_atom_site_fract_z
_atom_site_occupancy
Tm1 Tm 0.000 0.000 0.250 1
Tm2 Tm 0.120 0.380 0.000 1
Mg1 Mg 0.000 0.000 0.000 1
Mg2 Mg 0.189 0.311 0.359 1
Cd1 Cd 0.000 0.500 0.250 1
```